No. 1
DFT (PBE) results for crystalline ScAlAgPb at its relaxed geometry.

Results
* energy: -34.288 eV/cell
* energy relative to the elements: -0.13 eV/atom
* SG: I-4m2
* calculated density: 7.62 Mg/m³
* magnetization: 0.00 μB/f.u.
* E above lowest polymorph: 0.075 eV/atom

```
ScAlAgPb
1.0
-1.701 1.867 3.453
-2.316 -3.516 0.760
6.825 -3.374 5.187
Pb Sc Al Ag
2 2 2 2
Direct
0.500 0.000 0.750
0.000 0.500 0.250
0.000 0.000 0.000
0.500 0.500 0.500
0.000 0.000 0.500
0.500 0.500 0.000
0.500 0.000 0.250
0.000 0.500 0.750
```

No. 2
DFT (PBE) results for crystalline Rb2SnPb3 at its relaxed geometry.

Results
* energy: -17.924 eV/cell
* energy relative to the elements: -0.14 eV/atom
* SG: Cm
* calculated density: 6.59 Mg/m³
* magnetization: 0.00 μB/f.u.

```
Rb2SnPb3
1.0
5.001 0.000 2.095
2.240 6.521 1.669
-0.009 -0.013 7.040
Pb Rb Sn
3 2 1
Direct
0.835 0.242 0.088
0.848 0.593 0.712
0.162 0.756 0.920
0.430 0.820 0.319
0.567 0.182 0.684
0.158 0.408 0.276
```

No. 3
DFT (PBE) results for crystalline ZrNpBe at its relaxed geometry.

Results
* energy: -48.924 eV/cell
* energy relative to the elements: 0.25 eV/atom
* SG: Cmcm
* calculated density: 10.97 Mg/m³
* magnetization: 1.10 μB/f.u.

```
ZrNpBe
1.0
-2.488 2.105 1.487
-1.999 -0.032 -3.300
-2.442 -7.030 1.547
Zr Be Np
2 2 2
Direct
0.928 0.250 0.856
0.072 0.750 0.144
0.594 0.250 0.188
0.406 0.750 0.812
0.241 0.250 0.482
0.759 0.750 0.518
```

No. 4
DFT (PBE) results for crystalline NaAcEuSn at its relaxed geometry.

Results
* energy: -21.059 eV/cell
* energy relative to the elements: -0.34 eV/atom
* SG: F-43m
* calculated density: 6.43 Mg/m³
* magnetization: 7.55 μB/f.u.

```
NaAcEuSn
1.0
5.752 0.000 0.000
2.876 4.981 0.000
2.876 1.660 4.696
Ac Sn Eu Na
1 1 1 1
Direct
0.500 0.500 0.500
0.250 0.250 0.250
0.000 0.000 0.000
0.750 0.750 0.750
```

No. 5
DFT (PBE) results for crystalline Fe14IrRu at its relaxed geometry.

Results
* energy: -136.396 eV/cell
* energy relative to the elements: 0.01 eV/atom
* SG: Cmmm
* calculated density: 9.26 Mg/m³
* magnetization: 35.20 μB/f.u.

```
Fe14IrRu
1.0
5.013 0.134 0.000
-1.842 4.664 0.000
0.000 0.000 8.163
Fe Ir Ru
14 1 1
Direct
0.125 0.375 0.000
0.625 0.875 0.000
0.376 0.624 0.753
0.875 0.125 0.247
0.875 0.125 0.753
0.125 0.375 0.500
0.877 0.627 0.758
0.625 0.375 0.000
0.125 0.875 0.000
0.376 0.624 0.247
0.373 0.123 0.758
0.625 0.875 0.500
0.877 0.627 0.242
0.373 0.123 0.242
0.625 0.375 0.500
0.125 0.875 0.500
```

No. 6
DFT (PBE) results for crystalline Tb6SnSe3S2 at its relaxed geometry.

Results
* energy: -70.456 eV/cell
* formation energy from raw total energies: -1.664 eV/atom
* SG: C2/m
* calculated density: 7.77 Mg/m³
* magnetization: 0.00 μB/f.u.

```
Tb6SnSe3S2
1.0
4.076 0.000 0.000
0.000 8.258 0.256
-2.038 -2.419 8.645
Se Tb S Sn
3 6 2 1
Direct
0.836 0.168 0.672
0.164 0.832 0.328
0.500 0.500 0.000
0.993 0.738 0.986
0.327 0.427 0.654
0.671 0.104 0.341
0.329 0.896 0.659
0.007 0.262 0.014
0.673 0.573 0.346
0.832 0.663 0.663
0.168 0.337 0.337
0.500 0.000 0.000
```